DFT (GGA-PBE) results for an optimized crystal structure of La12CeNd3.

Cell: 5.2321 5.2321 20.9567 Å, 90.00 90.00 90.00°
With the nearest neighbours (Å) after each atom.
Sites, in units of the cell vectors:
La  0.0000  0.0000  0.0000  8 La 3.63, 4 Ce 3.70
La  0.0000  0.0000  0.2491  8 La 3.70-3.76, 4 Nd 3.70
La  0.0000  0.0000  0.5000  4 Nd 3.70, 8 La 3.72
La  0.0000  0.0000  0.7509  8 La 3.70-3.76, 4 Nd 3.70
La  0.0000  0.5000  0.1201  8 La 3.63-3.76, 2 Ce 3.63, 2 Nd 3.76
La  0.0000  0.5000  0.3738  8 La 3.70-3.72, 4 Nd 3.70-3.72
La  0.0000  0.5000  0.6262  8 La 3.70-3.72, 4 Nd 3.70-3.72
La  0.0000  0.5000  0.8799  8 La 3.63-3.76, 2 Ce 3.63, 2 Nd 3.76
La  0.5000  0.0000  0.1201  8 La 3.63-3.76, 2 Ce 3.63, 2 Nd 3.76
La  0.5000  0.0000  0.3738  8 La 3.70-3.72, 4 Nd 3.70-3.72
La  0.5000  0.0000  0.6262  8 La 3.70-3.72, 4 Nd 3.70-3.72
La  0.5000  0.0000  0.8799  8 La 3.63-3.76, 2 Ce 3.63, 2 Nd 3.76
Ce  0.5000  0.5000  0.0000  12 La 3.63-3.70
Nd  0.5000  0.5000  0.2488  12 La 3.70-3.76
Nd  0.5000  0.5000  0.5000  12 La 3.70-3.72
Nd  0.5000  0.5000  0.7512  12 La 3.70-3.76

Values from the calculation:
Space group: P4/mmm
E_form (meV per atom): 20


DFT (GGA-PBE) results for an optimized crystal structure of La12CeNd6.

Cell: 9.8113 9.8113 9.8113 Å, 110.91 110.91 110.91°
With the nearest neighbours (Å) after each atom.
Sites, in units of the cell vectors:
La  0.0557  0.5804  0.3702  4 Nd 3.69-3.75, 8 La 3.71-3.75
La  0.1030  0.1548  0.7400  1 Ce 3.65, 8 La 3.65-3.76, 3 Nd 3.67-3.79
La  0.1548  0.7400  0.1030  1 Ce 3.65, 8 La 3.65-3.76, 3 Nd 3.67-3.79
La  0.2600  0.8970  0.8452  1 Ce 3.65, 8 La 3.65-3.76, 3 Nd 3.67-3.79
La  0.3702  0.0557  0.5804  4 Nd 3.69-3.75, 8 La 3.71-3.75
La  0.4196  0.6298  0.9443  4 Nd 3.69-3.75, 8 La 3.71-3.75
La  0.5804  0.3702  0.0557  4 Nd 3.69-3.75, 8 La 3.71-3.75
La  0.6298  0.9443  0.4196  4 Nd 3.69-3.75, 8 La 3.71-3.75
La  0.7400  0.1030  0.1548  1 Ce 3.65, 8 La 3.65-3.76, 3 Nd 3.67-3.79
La  0.8452  0.2600  0.8970  1 Ce 3.65, 8 La 3.65-3.76, 3 Nd 3.67-3.79
La  0.8970  0.8452  0.2600  1 Ce 3.65, 8 La 3.65-3.76, 3 Nd 3.67-3.79
La  0.9443  0.4196  0.6298  4 Nd 3.69-3.75, 8 La 3.71-3.75
Ce  0.0000  0.0000  0.0000  6 La 3.65, 6 Nd 3.67
Nd  0.2088  0.3132  0.4680  4 Nd 3.65-3.74, 7 La 3.67-3.79, 1 Ce 3.67
Nd  0.3132  0.4680  0.2088  4 Nd 3.65-3.74, 7 La 3.67-3.79, 1 Ce 3.67
Nd  0.4680  0.2088  0.3132  4 Nd 3.65-3.74, 7 La 3.67-3.79, 1 Ce 3.67
Nd  0.5320  0.7912  0.6868  4 Nd 3.65-3.74, 7 La 3.67-3.79, 1 Ce 3.67
Nd  0.6868  0.5320  0.7912  4 Nd 3.65-3.74, 7 La 3.67-3.79, 1 Ce 3.67
Nd  0.7912  0.6868  0.5320  4 Nd 3.65-3.74, 7 La 3.67-3.79, 1 Ce 3.67

Values from the calculation:
Space group: R-3
E_form (meV per atom): 28